CeSmI2 | PBE | relaxed

```
CeSmI2
1.0
3.852 0.000 0.000
1.926 3.336 0.000
1.926 1.112 9.734
Ce Sm I
1 1 2
Cartesian
3.852 2.224 4.809
3.852 2.224 0.042
1.926 1.112 7.345
1.926 1.112 2.405
```

Properties
Density of states at the Fermi level ... 1.892 states/eV per atom
Spin magnetization ... 1.30 μB per formula unit
Polymorph energy (0 for the lowest one) ... 0.000 eV per formula unit
V ... 125.1 Å³/cell

In3Hg | PBE | relaxed

```
In3Hg
1.0
6.745 0.000 0.000
-3.372 5.841 0.000
0.000 0.000 10.797
Hg In
4 12
Cartesian
0.000 0.000 0.000
0.000 0.000 5.398
0.000 3.894 2.699
3.372 1.947 8.097
3.372 0.000 0.000
3.372 0.000 5.398
-1.686 2.921 0.000
1.686 2.921 0.000
1.686 2.921 5.398
-1.686 2.921 5.398
3.372 3.899 2.699
0.000 1.942 8.097
1.682 0.971 2.699
5.063 0.971 2.699
-1.691 4.870 8.097
1.691 4.870 8.097
```

Properties
Density of states at the Fermi level ... 0.322 states/eV per atom
Spin magnetization ... 0.00 μB per formula unit
Energy of formation ... 19 meV/atom
V ... 425.3 Å³/cell